No. 1
# PBE Cs2RbAu6, optimized geometry
# DFT formation energy: -1.3 eV per formula unit
# E: -0.096 hartree per atom
data_Cs2RbAu6
_chemical_formula_sum 'Cs4 Rb2 Au12'
_space_group_name_H-M_alt 'C 1 2/m 1'
_space_group_IT_number 12
_space_group_name_Hall '-C 2y'
_cell_length_a 12.291
_cell_length_b 7.682
_cell_length_c 6.259
_cell_angle_alpha 90.00
_cell_angle_beta 96.40
_cell_angle_gamma 90.00
loop_
_atom_site_label
_atom_site_fract_x
_atom_site_fract_y
_atom_site_fract_z
Cs1 0.165 0.000 0.417
Rb1 0.000 0.500 0.500
Au1 0.103 0.184 0.925
Au2 0.193 0.500 0.037

No. 2
# PBE Sr2VReN5, optimized geometry
# ΔE_f (raw): -14.93 kcal/mol of atoms
# E: -0.296 hartree per atom
data_Sr2VReN5
_chemical_formula_sum 'Sr8 V4 Re4 N20'
_space_group_name_H-M_alt 'C m c 21'
_space_group_IT_number 36
_space_group_name_Hall 'C 2c -2'
_cell_length_a 3.315
_cell_length_b 14.615
_cell_length_c 10.608
_cell_angle_alpha 90.00
_cell_angle_beta 90.00
_cell_angle_gamma 90.00
loop_
_atom_site_label
_atom_site_fract_x
_atom_site_fract_y
_atom_site_fract_z
Sr1 0.000 0.110 0.000
Sr2 0.000 0.129 0.628
V1 0.000 0.439 0.760
Re1 0.000 0.216 0.343
N1 0.000 0.046 0.343
N2 0.000 0.296 0.943
N3 0.000 0.318 0.705
N4 0.000 0.336 0.319
N5 0.000 0.498 0.620

No. 3
# PBE LaMnAl2Zn, optimized geometry
# DFT formation energy: -1.0 eV per formula unit
# E: -0.176 hartree per atom
data_LaMnAl2Zn
_chemical_formula_sum 'La1 Mn1 Al2 Zn1'
_space_group_name_H-M_alt 'P 4/m m m'
_space_group_IT_number 123
_space_group_name_Hall '-P 4 2'
_cell_length_a 4.608
_cell_length_b 4.608
_cell_length_c 4.750
_cell_angle_alpha 90.00
_cell_angle_beta 90.00
_cell_angle_gamma 90.00
loop_
_atom_site_label
_atom_site_fract_x
_atom_site_fract_y
_atom_site_fract_z
La1 0.000 0.000 0.000
Mn1 0.500 0.500 0.500
Al1 0.000 0.500 0.500
Zn1 0.500 0.500 0.000

No. 4
# PBE ReSeO2F, optimized geometry
# ΔE_f (raw): 14.73 kcal/mol of atoms
# E: -0.180 hartree per atom
data_ReSeO2F
_chemical_formula_sum 'Re1 Se1 O2 F1'
_space_group_name_H-M_alt 'P 4/m m m'
_space_group_IT_number 123
_space_group_name_Hall '-P 4 2'
_cell_length_a 3.972
_cell_length_b 3.972
_cell_length_c 4.563
_cell_angle_alpha 90.00
_cell_angle_beta 90.00
_cell_angle_gamma 90.00
loop_
_atom_site_label
_atom_site_fract_x
_atom_site_fract_y
_atom_site_fract_z
Re1 0.000 0.000 0.000
Se1 0.500 0.500 0.500
O1 0.000 0.500 0.500
F1 0.500 0.500 0.000

No. 5
# PBE CaCdAu2Cl, optimized geometry
# ΔE_f (raw): 6.03 kcal/mol of atoms
# E: -0.074 hartree per atom
data_CaCdAu2Cl
_chemical_formula_sum 'Ca1 Cd1 Au2 Cl1'
_space_group_name_H-M_alt 'P 4/m m m'
_space_group_IT_number 123
_space_group_name_Hall '-P 4 2'
_cell_length_a 5.055
_cell_length_b 5.055
_cell_length_c 5.577
_cell_angle_alpha 90.00
_cell_angle_beta 90.00
_cell_angle_gamma 90.00
loop_
_atom_site_label
_atom_site_fract_x
_atom_site_fract_y
_atom_site_fract_z
Ca1 0.000 0.000 0.000
Cd1 0.500 0.500 0.000
Au1 0.000 0.500 0.500
Cl1 0.500 0.500 0.500

No. 6
# PBE CoIr4Rh4, optimized geometry
# DFT formation energy: 0.0 eV per formula unit
# E: -0.294 hartree per atom
data_CoIr4Rh4
_chemical_formula_sum 'Co2 Ir8 Rh8'
_space_group_name_H-M_alt 'I 4/m m m'
_space_group_IT_number 139
_space_group_name_Hall '-I 4 2'
_cell_length_a 8.113
_cell_length_b 8.113
_cell_length_c 3.819
_cell_angle_alpha 90.00
_cell_angle_beta 90.00
_cell_angle_gamma 90.00
loop_
_atom_site_label
_atom_site_fract_x
_atom_site_fract_y
_atom_site_fract_z
Co1 0.000 0.000 0.000
Ir1 0.165 0.165 0.500
Rh1 0.000 0.329 0.000

No. 7
# PBE CaZr4Tc, optimized geometry
# DFT formation energy: 3.6 eV per formula unit
# E: -0.263 hartree per atom
data_CaZr4Tc
_chemical_formula_sum 'Ca4 Zr16 Tc4'
_space_group_name_H-M_alt 'F -4 3 m'
_space_group_IT_number 216
_space_group_name_Hall 'F -4 2 3'
_cell_length_a 8.223
_cell_length_b 8.223
_cell_length_c 8.223
_cell_angle_alpha 90.00
_cell_angle_beta 90.00
_cell_angle_gamma 90.00
loop_
_atom_site_label
_atom_site_fract_x
_atom_site_fract_y
_atom_site_fract_z
Ca1 0.000 0.000 0.000
Zr1 0.123 0.123 0.377
Tc1 0.250 0.250 0.750

No. 8
# PBE Nd3Te3O, optimized geometry
# ΔE_f (raw): -42.33 kcal/mol of atoms
# E: -0.218 hartree per atom
data_Nd3Te3O
_chemical_formula_sum 'Nd12 Te12 O4'
_space_group_name_H-M_alt 'C 1 2/m 1'
_space_group_IT_number 12
_space_group_name_Hall '-C 2y'
_cell_length_a 8.754
_cell_length_b 12.760
_cell_length_c 7.662
_cell_angle_alpha 90.00
_cell_angle_beta 102.29
_cell_angle_gamma 90.00
loop_
_atom_site_label
_atom_site_fract_x
_atom_site_fract_y
_atom_site_fract_z
Nd1 0.094 0.000 0.328
Nd2 0.196 0.355 0.210
Te1 0.000 0.162 0.000
Te2 0.000 0.248 0.500
Te3 0.111 0.500 0.843
O1 0.172 0.000 0.637

No. 9
# PBE BaMnIr2, optimized geometry
# DFT formation energy: -0.2 eV per formula unit
# E: -0.266 hartree per atom
data_BaMnIr2
_chemical_formula_sum 'Ba3 Mn3 Ir6'
_space_group_name_H-M_alt 'R 3 m'
_space_group_IT_number 160
_space_group_name_Hall 'R 3 -2"'
_cell_length_a 4.4279
_cell_length_b 4.4279
_cell_length_c 17.0839
_cell_angle_alpha 90.00
_cell_angle_beta 90.00
_cell_angle_gamma 120.00
loop_
_atom_site_label
_atom_site_fract_x
_atom_site_fract_y
_atom_site_fract_z
Ba1 0.0000 0.0000 0.0000
Mn1 0.0000 0.0000 0.1881
Ir1 0.0000 0.0000 0.4867
Ir2 0.0000 0.0000 0.8103

No. 10
# PBE Ho7Al2Sn2, optimized geometry
# DFT formation energy: -1.7 eV per formula unit
# E: -0.164 hartree per atom
data_Ho7Al2Sn2
_chemical_formula_sum 'Ho14 Al4 Sn4'
_space_group_name_H-M_alt 'C m m m'
_space_group_IT_number 65
_space_group_name_Hall '-C 2 2'
_cell_length_a 7.743
_cell_length_b 10.903
_cell_length_c 7.684
_cell_angle_alpha 90.00
_cell_angle_beta 90.00
_cell_angle_gamma 90.00
loop_
_atom_site_label
_atom_site_fract_x
_atom_site_fract_y
_atom_site_fract_z
Ho1 0.000 0.000 0.000
Ho2 0.000 0.500 0.280
Ho3 0.250 0.250 0.292
Al1 0.169 0.000 0.500
Sn1 0.000 0.298 0.000

No. 11
# PBE KCuAs, optimized geometry
# DFT formation energy: 2.9 eV per formula unit
# E: -0.085 hartree per atom
data_KCuAs
_chemical_formula_sum 'K4 Cu4 As4'
_space_group_name_H-M_alt 'F -4 3 m'
_space_group_IT_number 216
_space_group_name_Hall 'F -4 2 3'
_cell_length_a 7.122
_cell_length_b 7.122
_cell_length_c 7.122
_cell_angle_alpha 90.00
_cell_angle_beta 90.00
_cell_angle_gamma 90.00
loop_
_atom_site_label
_atom_site_fract_x
_atom_site_fract_y
_atom_site_fract_z
K1 0.000 0.000 0.000
Cu1 0.250 0.250 0.250
As1 0.250 0.250 0.750

No. 12
# PBE CePmZn, optimized geometry
# DFT formation energy: -0.4 eV per formula unit
# E: -0.152 hartree per atom
data_CePmZn
_chemical_formula_sum 'Ce4 Pm4 Zn4'
_space_group_name_H-M_alt 'C m c m'
_space_group_IT_number 63
_space_group_name_Hall '-C 2c 2'
_cell_length_a 3.555
_cell_length_b 16.724
_cell_length_c 5.287
_cell_angle_alpha 90.00
_cell_angle_beta 90.00
_cell_angle_gamma 90.00
loop_
_atom_site_label
_atom_site_fract_x
_atom_site_fract_y
_atom_site_fract_z
Ce1 0.000 0.233 0.250
Pm1 0.000 0.076 0.750
Zn1 0.000 0.420 0.750

Please write out number 2 again, unchanged.
# PBE Sr2VReN5, optimized geometry
# ΔE_f (raw): -14.93 kcal/mol of atoms
# E: -0.296 hartree per atom
data_Sr2VReN5
_chemical_formula_sum 'Sr8 V4 Re4 N20'
_space_group_name_H-M_alt 'C m c 21'
_space_group_IT_number 36
_space_group_name_Hall 'C 2c -2'
_cell_length_a 3.315
_cell_length_b 14.615
_cell_length_c 10.608
_cell_angle_alpha 90.00
_cell_angle_beta 90.00
_cell_angle_gamma 90.00
loop_
_atom_site_label
_atom_site_fract_x
_atom_site_fract_y
_atom_site_fract_z
Sr1 0.000 0.110 0.000
Sr2 0.000 0.129 0.628
V1 0.000 0.439 0.760
Re1 0.000 0.216 0.343
N1 0.000 0.046 0.343
N2 0.000 0.296 0.943
N3 0.000 0.318 0.705
N4 0.000 0.336 0.319
N5 0.000 0.498 0.620

What did the seventh record say?
# PBE CaZr4Tc, optimized geometry
# DFT formation energy: 3.6 eV per formula unit
# E: -0.263 hartree per atom
data_CaZr4Tc
_chemical_formula_sum 'Ca4 Zr16 Tc4'
_space_group_name_H-M_alt 'F -4 3 m'
_space_group_IT_number 216
_space_group_name_Hall 'F -4 2 3'
_cell_length_a 8.223
_cell_length_b 8.223
_cell_length_c 8.223
_cell_angle_alpha 90.00
_cell_angle_beta 90.00
_cell_angle_gamma 90.00
loop_
_atom_site_label
_atom_site_fract_x
_atom_site_fract_y
_atom_site_fract_z
Ca1 0.000 0.000 0.000
Zr1 0.123 0.123 0.377
Tc1 0.250 0.250 0.750

Which of these has the lowest E? Sr2VReN5